This record from Alexandria via LeMat-Bulk describes CsThBi2 after structural relaxation. The functional is PBE-GGA.

Output
SG: C2/m, No. 12
DOS at the Fermi energy (states/eV/cell): 5.3
DFT formation energy (eV per atom): -0.379

```
CsThBi2
1.0
4.105 -2.374 0.000
4.105 2.374 0.000
-2.749 0.000 9.242
Cs Th Bi
1 1 2
Cartesian
0.000 0.000 0.000 Cs
2.730 0.000 4.621 Th
-0.008 0.000 6.381 Bi
5.467 0.000 2.861 Bi
```